A relaxed structure of YbGaCu4, computed with PBE.

Cell and atoms, written as POSCAR:
```
YbGaCu4
1.0
5.187 0.000 0.000
-2.593 4.492 0.000
0.000 0.000 4.056
Yb Ga Cu
1 1 4
Direct
0.000 0.000 0.000
0.333 0.667 0.000
0.502 0.004 0.500
0.502 0.498 0.500
0.667 0.333 0.000
0.996 0.498 0.500
```

Values from the calculation:
M_tot: 0.22 Bohr magnetons per cell
space group: P-6m2
formation energy: -246.7 meV per atom
D(E_F): 16.32 states/eV per cell

A relaxed structure of YbGa2Cu3, computed with PBE.

Cell and atoms, written as POSCAR:
```
YbGa2Cu3
1.0
5.266 0.000 0.000
-2.633 4.561 0.000
0.000 0.000 4.040
Yb Ga Cu
1 2 3
Direct
0.000 0.000 0.000
0.333 0.667 0.000
0.667 0.333 0.000
0.000 0.500 0.500
0.500 0.000 0.500
0.500 0.500 0.500
```

Values from the calculation:
M_tot: 0.00 Bohr magnetons per cell
space group: P6/mmm
formation energy: -315.3 meV per atom
D(E_F): 2.90 states/eV per cell

A relaxed structure of YbGa3Cu, computed with PBE.

Cell and atoms, written as POSCAR:
```
YbGa3Cu
1.0
-2.066 2.066 5.418
2.066 -2.066 5.418
2.066 2.066 -5.418
Yb Ga Cu
1 3 1
Direct
0.000 0.000 0.000
0.386 0.386 0.000
0.614 0.614 0.000
0.750 0.250 0.500
0.250 0.750 0.500
```

Values from the calculation:
M_tot: 0.20 Bohr magnetons per cell
space group: I-4m2
formation energy: -403.8 meV per atom
D(E_F): 14.81 states/eV per cell